# YIn2PS, relaxed, DFT GGA-PBE
data_YIn2PS
_cell_length_a 5.170
_cell_length_b 5.170
_cell_length_c 5.172
_cell_angle_alpha 90.00
_cell_angle_beta 90.00
_cell_angle_gamma 90.00
_symmetry_space_group_name_H-M 'P 4/m m m'
_symmetry_Int_Tables_number 123
_symmetry_space_group_name_Hall '-P 4 2'
loop_
_atom_site_label
_atom_site_fract_x
_atom_site_fract_y
_atom_site_fract_z
Y1 0.000 0.000 0.000
In1 0.000 0.500 0.500
P1 0.500 0.500 0.000
S1 0.000 0.000 0.500
# Electronic total energy (eV per cell): -21.3
# Calculated density (g/cm3): 4.6
# E_form (uncorrected) (eV per atom): 0.035
# Crystal system: tetragonal
# DOS at the Fermi energy (states/eV per atom): 0.31

# YInP2S, relaxed, DFT GGA-PBE
data_YInP2S
_cell_length_a 4.928
_cell_length_b 4.928
_cell_length_c 5.028
_cell_angle_alpha 90.00
_cell_angle_beta 90.00
_cell_angle_gamma 90.00
_symmetry_space_group_name_H-M 'P 4/m m m'
_symmetry_Int_Tables_number 123
_symmetry_space_group_name_Hall '-P 4 2'
loop_
_atom_site_label
_atom_site_fract_x
_atom_site_fract_y
_atom_site_fract_z
Y1 0.000 0.000 0.000
In1 0.500 0.500 0.500
P1 0.000 0.500 0.500
S1 0.500 0.500 0.000
# Energy above the most stable polymorph in this dataset (eV/atom): 0.025
# Electronic total energy (eV per cell): -23.2
# Calculated density (g/cm3): 4.0
# E_form (uncorrected) (eV per atom): 0.183
# Crystal system: tetragonal
# DOS at the Fermi energy (states/eV per atom): 0.91

# Y6InP2S3, relaxed, DFT GGA-PBE
data_Y6InP2S3
_cell_length_a 17.629
_cell_length_b 3.981
_cell_length_c 8.182
_cell_angle_alpha 90.00
_cell_angle_beta 103.31
_cell_angle_gamma 90.00
_symmetry_space_group_name_H-M 'C 1 2/m 1'
_symmetry_Int_Tables_number 12
_symmetry_space_group_name_Hall '-C 2y'
loop_
_atom_site_label
_atom_site_fract_x
_atom_site_fract_y
_atom_site_fract_z
Y1 0.002 0.000 0.270
Y2 0.170 0.500 0.577
Y3 0.173 0.500 0.095
In1 0.000 0.500 0.000
P1 0.168 0.000 0.336
S1 0.000 0.500 0.500
S2 0.167 0.000 0.831
# Electronic total energy (eV per cell): -167.7
# Calculated density (g/cm3): 4.8
# E_form (uncorrected) (eV per atom): -1.592
# Crystal system: monoclinic
# DOS at the Fermi energy (states/eV per atom): 0.34

# YInPS2, relaxed, DFT GGA-PBE
data_YInPS2
_cell_length_a 5.263
_cell_length_b 5.263
_cell_length_c 5.474
_cell_angle_alpha 90.00
_cell_angle_beta 90.00
_cell_angle_gamma 90.00
_symmetry_space_group_name_H-M 'P 4/m m m'
_symmetry_Int_Tables_number 123
_symmetry_space_group_name_Hall '-P 4 2'
loop_
_atom_site_label
_atom_site_fract_x
_atom_site_fract_y
_atom_site_fract_z
Y1 0.000 0.000 0.000
In1 0.500 0.500 0.500
P1 0.000 0.000 0.500
S1 0.000 0.500 0.000
# Energy above the most stable polymorph in this dataset (eV/atom): 0.000
# Electronic total energy (eV per cell): -24.0
# Calculated density (g/cm3): 3.3
# E_form (uncorrected) (eV per atom): -0.217
# Crystal system: tetragonal
# DOS at the Fermi energy (states/eV per atom): 0.92

> Which of these has the lowest DOS at the Fermi energy?

YIn2PS

Copy entry 4 word for word.
# YInPS2, relaxed, DFT GGA-PBE
data_YInPS2
_cell_length_a 5.263
_cell_length_b 5.263
_cell_length_c 5.474
_cell_angle_alpha 90.00
_cell_angle_beta 90.00
_cell_angle_gamma 90.00
_symmetry_space_group_name_H-M 'P 4/m m m'
_symmetry_Int_Tables_number 123
_symmetry_space_group_name_Hall '-P 4 2'
loop_
_atom_site_label
_atom_site_fract_x
_atom_site_fract_y
_atom_site_fract_z
Y1 0.000 0.000 0.000
In1 0.500 0.500 0.500
P1 0.000 0.000 0.500
S1 0.000 0.500 0.000
# Energy above the most stable polymorph in this dataset (eV/atom): 0.000
# Electronic total energy (eV per cell): -24.0
# Calculated density (g/cm3): 3.3
# E_form (uncorrected) (eV per atom): -0.217
# Crystal system: tetragonal
# DOS at the Fermi energy (states/eV per atom): 0.92

> Among the records above, which one has the lowest electronic total energy?

Y6InP2S3

> What is the calculated density in the fourth record?

3.3 g/cm3